Entry 1:
The following is a PBE-GGA calculation of a relaxed TbAg2TeS4 crystal, from the Alexandria database.

Results
The value obtained for the calculated volume is 23.2 Å³ per atom. The crystal system is monoclinic. For the energy, the calculation gives -138.22 eV/cell.

Geometry as CIF:
```
data_TbAg2TeS4
_chemical_formula_sum 'Tb4 Ag8 Te4 S16'
_symmetry_space_group_name_H-M 'C 1 2/c 1'
_symmetry_Int_Tables_number 15
_cell_length_a 11.908
_cell_length_b 10.453
_cell_length_c 7.990
_cell_angle_alpha 90.00
_cell_angle_beta 131.83
_cell_angle_gamma 90.00
loop_
_symmetry_equiv_pos_as_xyz
'x,y,z'
'-x,-y,-z'
'-x,y,-z+1/2'
'x,-y,z+1/2'
'x+1/2,y+1/2,z'
'-x+1/2,-y+1/2,-z'
'-x+1/2,y+1/2,-z+1/2'
'x+1/2,-y+1/2,z+1/2'
loop_
_atom_site_label
_atom_site_type_symbol
_atom_site_fract_x
_atom_site_fract_y
_atom_site_fract_z
_atom_site_occupancy
Tb1 Tb 0.000 0.000 0.000 1
Ag1 Ag 0.000 0.500 0.000 1
Ag2 Ag 0.250 0.250 0.000 1
Te1 Te 0.250 0.250 0.500 1
S1 S 0.057 0.265 0.054 1
S2 S 0.214 0.003 0.963 1
```

---

Entry 2:
The following is a PBE-GGA calculation of a relaxed TbAgTeS crystal, from the Alexandria database.

Results
The value obtained for the calculated volume is 26.1 Å³ per atom. The crystal system is trigonal. For the energy, the calculation gives -116.67 eV/cell.

Geometry as CIF:
```
data_TbAgTeS
_chemical_formula_sum 'Tb6 Ag6 Te6 S6'
_symmetry_space_group_name_H-M 'R -3 m'
_symmetry_Int_Tables_number 166
_symmetry_space_group_name_Hall '-R 3 2"'
_cell_length_a 4.5489
_cell_length_b 4.5489
_cell_length_c 34.9819
_cell_angle_alpha 90.00
_cell_angle_beta 90.00
_cell_angle_gamma 120.00
loop_
_atom_site_label
_atom_site_type_symbol
_atom_site_fract_x
_atom_site_fract_y
_atom_site_fract_z
_atom_site_occupancy
Tb1 Tb 0.0000 0.0000 0.1168 1
Ag1 Ag 0.0000 0.0000 0.3102 1
Te1 Te 0.0000 0.0000 0.3925 1
S1 S 0.0000 0.0000 0.1962 1
```

---

Entry 3:
The following is a PBE-GGA calculation of a relaxed Tb3TiAg3S8 crystal, from the Alexandria database.

Results
The value obtained for the calculated volume is 22.5 Å³ per atom. The crystal system is monoclinic. For the energy, the calculation gives -164.02 eV/cell.

Geometry as CIF:
```
data_Tb3TiAg3S8
_chemical_formula_sum 'Tb6 Ti2 Ag6 S16'
_symmetry_space_group_name_H-M 'C 1 2/m 1'
_symmetry_Int_Tables_number 12
_cell_length_a 13.418
_cell_length_b 7.851
_cell_length_c 7.804
_cell_angle_alpha 90.00
_cell_angle_beta 124.76
_cell_angle_gamma 90.00
loop_
_symmetry_equiv_pos_as_xyz
'x,y,z'
'-x,-y,-z'
'-x,y,-z'
'x,-y,z'
'x+1/2,y+1/2,z'
'-x+1/2,-y+1/2,-z'
'-x+1/2,y+1/2,-z'
'x+1/2,-y+1/2,z'
loop_
_atom_site_label
_atom_site_type_symbol
_atom_site_fract_x
_atom_site_fract_y
_atom_site_fract_z
_atom_site_occupancy
Tb1 Tb 0.000 0.000 0.000 1
Tb2 Tb 0.250 0.250 0.500 1
Ti1 Ti 0.000 0.500 0.000 1
Ag1 Ag 0.000 0.500 0.500 1
Ag2 Ag 0.250 0.250 0.000 1
S1 S 0.001 0.272 0.225 1
S2 S 0.226 0.500 0.231 1
S3 S 0.248 0.000 0.253 1
```

---

Entry 4:
The following is a PBE-GGA calculation of a relaxed Tb2TlAgS4 crystal, from the Alexandria database.

Results
The value obtained for the calculated volume is 24.6 Å³ per atom. The crystal system is orthorhombic. For the energy, the calculation gives -168.22 eV/cell.

Geometry as CIF:
```
data_Tb2TlAgS4
_chemical_formula_sum 'Tb8 Tl4 Ag4 S16'
_symmetry_space_group_name_H-M 'C m c m'
_symmetry_Int_Tables_number 63
_symmetry_space_group_name_Hall '-C 2c 2'
_cell_length_a 4.050
_cell_length_b 13.536
_cell_length_c 14.382
_cell_angle_alpha 90.00
_cell_angle_beta 90.00
_cell_angle_gamma 90.00
loop_
_atom_site_label
_atom_site_type_symbol
_atom_site_fract_x
_atom_site_fract_y
_atom_site_fract_z
_atom_site_occupancy
Tb1 Tb 0.000 0.131 0.066 1
Tl1 Tl 0.000 0.386 0.250 1
Ag1 Ag 0.000 0.329 0.750 1
S1 S 0.000 0.058 0.250 1
S2 S 0.000 0.236 0.600 1
S3 S 0.000 0.500 0.000 1
```

---

Entry 5:
The following is a PBE-GGA calculation of a relaxed TbTlAgS2 crystal, from the Alexandria database.

Results
The value obtained for the calculated volume is 27.6 Å³ per atom. The crystal system is monoclinic. For the energy, the calculation gives -44.35 eV/cell.

Geometry as CIF:
```
data_TbTlAgS2
_chemical_formula_sum 'Tb2 Tl2 Ag2 S4'
_symmetry_space_group_name_H-M 'P 1 2/c 1'
_symmetry_Int_Tables_number 13
_cell_length_a 6.320
_cell_length_b 6.003
_cell_length_c 7.512
_cell_angle_alpha 90.00
_cell_angle_beta 104.46
_cell_angle_gamma 90.00
loop_
_symmetry_equiv_pos_as_xyz
'x,y,z'
'-x,-y,-z'
'-x,y,-z+1/2'
'x,-y,z+1/2'
loop_
_atom_site_label
_atom_site_type_symbol
_atom_site_fract_x
_atom_site_fract_y
_atom_site_fract_z
_atom_site_occupancy
Tb1 Tb 0.000 0.015 0.250 1
Tl1 Tl 0.500 0.313 0.250 1
Ag1 Ag 0.000 0.500 0.000 1
S1 S 0.250 0.187 0.562 1
```

---

Entry 6:
The following is a PBE-GGA calculation of a relaxed Tb4TmAgS8 crystal, from the Alexandria database.

Results
The value obtained for the calculated volume is 26.2 Å³ per atom. The crystal system is trigonal. For the energy, the calculation gives -253.38 eV/cell.

Geometry as CIF:
```
data_Tb4TmAgS8
_chemical_formula_sum 'Tb12 Tm3 Ag3 S24'
_symmetry_space_group_name_H-M 'R 3 m'
_symmetry_Int_Tables_number 160
_symmetry_space_group_name_Hall 'R 3 -2"'
_cell_length_a 8.0560
_cell_length_b 8.0560
_cell_length_c 19.5794
_cell_angle_alpha 90.00
_cell_angle_beta 90.00
_cell_angle_gamma 120.00
loop_
_atom_site_label
_atom_site_type_symbol
_atom_site_fract_x
_atom_site_fract_y
_atom_site_fract_z
_atom_site_occupancy
Tb1 Tb 0.0000 0.0000 0.0000 1
Tb2 Tb 0.1723 0.3446 0.2076 1
Tm1 Tm 0.0000 0.0000 0.3802 1
Ag1 Ag 0.0000 0.0000 0.7515 1
S1 S 0.0000 0.0000 0.1340 1
S2 S 0.0000 0.0000 0.6184 1
S3 S 0.0225 0.5112 0.1270 1
S4 S 0.1795 0.3591 0.9577 1
```

---

Entry 7:
The following is a PBE-GGA calculation of a relaxed Tb2TmAg3S6 crystal, from the Alexandria database.

Results
The value obtained for the calculated volume is 24.2 Å³ per atom. The crystal system is monoclinic. For the energy, the calculation gives -125.25 eV/cell.

Geometry as CIF:
```
data_Tb2TmAg3S6
_chemical_formula_sum 'Tb4 Tm2 Ag6 S12'
_symmetry_space_group_name_H-M 'C 1 2/m 1'
_symmetry_Int_Tables_number 12
_cell_length_a 15.633
_cell_length_b 4.027
_cell_length_c 9.582
_cell_angle_alpha 90.00
_cell_angle_beta 105.79
_cell_angle_gamma 90.00
loop_
_symmetry_equiv_pos_as_xyz
'x,y,z'
'-x,-y,-z'
'-x,y,-z'
'x,-y,z'
'x+1/2,y+1/2,z'
'-x+1/2,-y+1/2,-z'
'-x+1/2,y+1/2,-z'
'x+1/2,-y+1/2,z'
loop_
_atom_site_label
_atom_site_type_symbol
_atom_site_fract_x
_atom_site_fract_y
_atom_site_fract_z
_atom_site_occupancy
Tb1 Tb 0.163 0.000 0.330 1
Tm1 Tm 0.000 0.500 0.000 1
Ag1 Ag 0.000 0.500 0.500 1
Ag2 Ag 0.165 0.000 0.797 1
S1 S 0.014 0.000 0.815 1
S2 S 0.157 0.500 0.529 1
S3 S 0.174 0.500 0.142 1
```

---

Entry 8:
The following is a PBE-GGA calculation of a relaxed TbTm2Ag3S6 crystal, from the Alexandria database.

Results
The value obtained for the calculated volume is 23.7 Å³ per atom. The crystal system is monoclinic. For the energy, the calculation gives -125.10 eV/cell.

Geometry as CIF:
```
data_TbTm2Ag3S6
_chemical_formula_sum 'Tb2 Tm4 Ag6 S12'
_symmetry_space_group_name_H-M 'C 1 2/m 1'
_symmetry_Int_Tables_number 12
_cell_length_a 15.500
_cell_length_b 4.007
_cell_length_c 9.577
_cell_angle_alpha 90.00
_cell_angle_beta 106.83
_cell_angle_gamma 90.00
loop_
_symmetry_equiv_pos_as_xyz
'x,y,z'
'-x,-y,-z'
'-x,y,-z'
'x,-y,z'
'x+1/2,y+1/2,z'
'-x+1/2,-y+1/2,-z'
'-x+1/2,y+1/2,-z'
'x+1/2,-y+1/2,z'
loop_
_atom_site_label
_atom_site_type_symbol
_atom_site_fract_x
_atom_site_fract_y
_atom_site_fract_z
_atom_site_occupancy
Tb1 Tb 0.000 0.000 0.000 1
Tm1 Tm 0.166 0.500 0.336 1
Ag1 Ag 0.000 0.000 0.500 1
Ag2 Ag 0.175 0.500 0.934 1
S1 S 0.010 0.500 0.806 1
S2 S 0.157 0.000 0.518 1
S3 S 0.184 0.000 0.147 1
```

---

Entry 9:
The following is a PBE-GGA calculation of a relaxed TbTmAg2S4 crystal, from the Alexandria database.

Results
The value obtained for the calculated volume is 26.9 Å³ per atom. The crystal system is monoclinic. For the energy, the calculation gives -41.78 eV/cell.

Geometry as CIF:
```
data_TbTmAg2S4
_chemical_formula_sum 'Tb1 Tm1 Ag2 S4'
_symmetry_space_group_name_H-M 'P 1 2/m 1'
_symmetry_Int_Tables_number 10
_cell_length_a 7.069
_cell_length_b 4.050
_cell_length_c 7.713
_cell_angle_alpha 90.00
_cell_angle_beta 103.40
_cell_angle_gamma 90.00
loop_
_symmetry_equiv_pos_as_xyz
'x,y,z'
'-x,-y,-z'
'-x,y,-z'
'x,-y,z'
loop_
_atom_site_label
_atom_site_type_symbol
_atom_site_fract_x
_atom_site_fract_y
_atom_site_fract_z
_atom_site_occupancy
Tb1 Tb 0.000 0.000 0.000 1
Tm1 Tm 0.500 0.500 0.000 1
Ag1 Ag 0.000 0.500 0.500 1
Ag2 Ag 0.500 0.000 0.500 1
S1 S 0.126 0.500 0.812 1
S2 S 0.383 0.000 0.187 1
```

---

Entry 10:
The following is a PBE-GGA calculation of a relaxed Tb2UAgS6 crystal, from the Alexandria database.

Results
The value obtained for the calculated volume is 26.3 Å³ per atom. The crystal system is tetragonal. For the energy, the calculation gives -59.31 eV/cell.

Geometry as CIF:
```
data_Tb2UAgS6
_chemical_formula_sum 'Tb2 U1 Ag1 S6'
_symmetry_space_group_name_H-M 'P 4 m m'
_symmetry_Int_Tables_number 99
_cell_length_a 6.284
_cell_length_b 6.284
_cell_length_c 6.655
_cell_angle_alpha 90.00
_cell_angle_beta 90.00
_cell_angle_gamma 90.00
loop_
_symmetry_equiv_pos_as_xyz
'x,y,z'
'-y,x,z'
'-x,-y,z'
'y,-x,z'
'-x,y,z'
'y,x,z'
'x,-y,z'
'-y,-x,z'
loop_
_atom_site_label
_atom_site_type_symbol
_atom_site_fract_x
_atom_site_fract_y
_atom_site_fract_z
_atom_site_occupancy
Tb1 Tb 0.000 0.500 0.000 1
U1 U 0.000 0.000 0.599 1
Ag1 Ag 0.500 0.500 0.514 1
S1 S 0.000 0.000 0.199 1
S2 S 0.257 0.257 0.761 1
S3 S 0.500 0.500 0.155 1
```

---

Entry 11:
The following is a PBE-GGA calculation of a relaxed Tb3VAg3S8 crystal, from the Alexandria database.

Results
The value obtained for the calculated volume is 22.3 Å³ per atom. The crystal system is monoclinic. For the energy, the calculation gives -162.72 eV/cell.

Geometry as CIF:
```
data_Tb3VAg3S8
_chemical_formula_sum 'Tb6 V2 Ag6 S16'
_symmetry_space_group_name_H-M 'C 1 2/m 1'
_symmetry_Int_Tables_number 12
_cell_length_a 13.420
_cell_length_b 7.810
_cell_length_c 7.796
_cell_angle_alpha 90.00
_cell_angle_beta 125.04
_cell_angle_gamma 90.00
loop_
_symmetry_equiv_pos_as_xyz
'x,y,z'
'-x,-y,-z'
'-x,y,-z'
'x,-y,z'
'x+1/2,y+1/2,z'
'-x+1/2,-y+1/2,-z'
'-x+1/2,y+1/2,-z'
'x+1/2,-y+1/2,z'
loop_
_atom_site_label
_atom_site_type_symbol
_atom_site_fract_x
_atom_site_fract_y
_atom_site_fract_z
_atom_site_occupancy
Tb1 Tb 0.000 0.000 0.000 1
Tb2 Tb 0.250 0.250 0.500 1
V1 V 0.000 0.500 0.000 1
Ag1 Ag 0.000 0.500 0.500 1
Ag2 Ag 0.250 0.250 0.000 1
S1 S 0.001 0.275 0.222 1
S2 S 0.224 0.500 0.227 1
S3 S 0.249 0.000 0.253 1
```

---

Entry 12:
The following is a PBE-GGA calculation of a relaxed Tb2YAg3S6 crystal, from the Alexandria database.

Results
The value obtained for the calculated volume is 24.5 Å³ per atom. The crystal system is monoclinic. For the energy, the calculation gives -129.27 eV/cell.

Geometry as CIF:
```
data_Tb2YAg3S6
_chemical_formula_sum 'Tb4 Y2 Ag6 S12'
_symmetry_space_group_name_H-M 'C 1 2/m 1'
_symmetry_Int_Tables_number 12
_cell_length_a 15.649
_cell_length_b 4.051
_cell_length_c 9.631
_cell_angle_alpha 90.00
_cell_angle_beta 105.53
_cell_angle_gamma 90.00
loop_
_symmetry_equiv_pos_as_xyz
'x,y,z'
'-x,-y,-z'
'-x,y,-z'
'x,-y,z'
'x+1/2,y+1/2,z'
'-x+1/2,-y+1/2,-z'
'-x+1/2,y+1/2,-z'
'x+1/2,-y+1/2,z'
loop_
_atom_site_label
_atom_site_type_symbol
_atom_site_fract_x
_atom_site_fract_y
_atom_site_fract_z
_atom_site_occupancy
Tb1 Tb 0.165 0.000 0.331 1
Y1 Y 0.000 0.500 0.000 1
Ag1 Ag 0.000 0.500 0.500 1
Ag2 Ag 0.164 0.000 0.798 1
S1 S 0.012 0.000 0.811 1
S2 S 0.157 0.500 0.527 1
S3 S 0.176 0.500 0.144 1
```